K2BeSb | PBE | relaxed

total magnetization = 0.0 Bohr magnetons per cell
formation energy without anion corrections = 0.387 eV/atom
energy above the lowest structure with this stoichiometry = 0.4025 eV/atom
final energy = -2.12 eV/atom
N(E_F) = 1.54 states/eV/cell

Cell: 5.2763 5.2763 4.9718 Å, 90.00 90.00 113.21°
Fractional positions:
Sb1 0.5000 0.0000 0.5000
K1 0.0000 0.0000 0.0000
K2 0.5000 0.5000 0.0000
Be1 0.0000 0.5000 0.5000